No. 1
First-principles (PBE-GGA) data for an optimized crystal structure of HfInMo2H, as listed in Alexandria via LeMat-Bulk.

Cell: 4.9513 5.2441 4.9513 Å, 90.00 90.00 90.00°
Positions (direct):
H: 0.5000 0.5000 0.5000
Mo: 0.0000 0.0000 0.5000
Mo: 0.5000 0.0000 0.0000
Hf: 0.0000 0.5000 0.0000
In: 0.0000 0.0000 0.0000

Properties
SG: P4/mmm (123)
Theoretical density: 6.28 g/cm3
Calculated total energy: -4.84 eV per atom

---

No. 2
First-principles (PBE-GGA) data for an optimized crystal structure of Ce8GaSi2, as listed in Alexandria via LeMat-Bulk.

Cell: 4.2129 7.4709 9.3747 Å, 110.77 102.98 90.00°
Site moments in Bohr magnetons follow the coordinates.
Positions (direct):
Ce: 0.4205 0.5616 0.8410  0.18
Ce: 0.6702 0.9716 0.3403  0.33
Ce: 0.8120 0.7428 0.6241  0.36
Ce: 0.9763 0.2632 0.9526  0.17
Ce: 0.1880 0.2572 0.3759  0.36
Ce: 0.3298 0.0284 0.6597  0.33
Ce: 0.5795 0.4384 0.1590  0.18
Ce: 0.0237 0.7368 0.0474  0.17
Ga: 0.5000 0.0000 0.0000  0.00
Si: 0.8150 0.3183 0.6300  -0.01
Si: 0.1850 0.6817 0.3700  -0.01

Properties
Uncorrected formation energy: -0.318 eV/atom
SG: C2/m (12)
Theoretical density: 7.73 g/cm3

---

No. 3
First-principles (PBE-GGA) data for an optimized crystal structure of LaHfSc2Mn, as listed in Alexandria via LeMat-Bulk.

Cell: 5.3270 4.8209 5.3270 Å, 90.00 90.00 90.00°
Site moments in Bohr magnetons follow the coordinates.
Positions (direct):
Sc: 0.0000 0.0000 0.5000  -0.01
Sc: 0.5000 0.0000 0.0000  -0.01
Mn: 0.0000 0.5000 0.0000  2.98
Hf: 0.0000 0.0000 0.0000  -0.25
La: 0.5000 0.5000 0.5000  -0.01

Properties
SG: P4/mmm (123)
Theoretical density: 5.61 g/cm3
DFT formation energy: 0.651 eV per atom

---

No. 4
First-principles (PBE-GGA) data for an optimized crystal structure of Er6TmTl6, as listed in Alexandria via LeMat-Bulk.

Cell: 6.3871 6.3871 10.4666 Å, 90.00 90.00 120.01°
Site moments in Bohr magnetons follow the coordinates.
Positions (direct):
Er: 0.0000 0.0000 0.6627  0.14
Er: 0.0000 0.0000 0.3373  0.14
Er: 0.3333 0.6667 0.0000  0.02
Er: 0.6667 0.3333 0.0000  0.02
Er: 0.3334 0.6666 0.5000  0.01
Er: 0.6666 0.3334 0.5000  0.01
Tm: 0.0000 0.0000 0.0000  0.20
Tl: 0.0000 0.5000 0.7536  0.00
Tl: 0.5000 0.0000 0.7536  0.00
Tl: 0.5000 0.5000 0.7537  0.00
Tl: 0.5000 0.0000 0.2464  0.00
Tl: 0.0000 0.5000 0.2464  0.00
Tl: 0.5000 0.5000 0.2463  0.00

Properties
SG: P6/mmm (191)
Theoretical density: 10.77 g/cm3
DFT formation energy: -0.143 eV per atom

---

No. 5
First-principles (PBE-GGA) data for an optimized crystal structure of BaCrCl, as listed in Alexandria via LeMat-Bulk.

Cell: 7.6937 7.6938 3.9719 Å, 75.04 75.04 29.92°
Site moments in Bohr magnetons follow the coordinates.
Positions (direct):
Cr: 0.6461 0.6461 0.3539  4.19
Ba: 0.9777 0.9777 0.0223  0.02
Cl: 0.3762 0.3762 0.6238  0.02

Properties
Uncorrected formation energy: -0.263 eV/atom
SG: I4mm (107)
Theoretical density: 3.30 g/cm3

---

No. 6
First-principles (PBE-GGA) data for an optimized crystal structure of Ag3BiBr6, as listed in Alexandria via LeMat-Bulk.

Cell: 8.1487 8.1451 8.1504 Å, 60.48 59.71 59.71°
Positions (direct):
Ag: 0.5000 0.5000 0.0000
Ag: 0.5000 0.0000 0.5000
Ag: 0.5000 0.5000 0.5000
Bi: 0.0000 0.0000 0.0000
Br: 0.7241 0.7745 0.2722
Br: 0.2759 0.2255 0.7278
Br: 0.7277 0.2759 0.7710
Br: 0.2723 0.7241 0.2290
Br: 0.2179 0.7490 0.7483
Br: 0.7821 0.2510 0.2517

Properties
Uncorrected formation energy: -0.438 eV/atom
SG: P-1 (2)
Theoretical density: 4.40 g/cm3